[1]
DFT (GGA-PBE) results for a geometry-optimized Ce3NdOs8 structure.

Unit cell a=5.4048 b=5.4048 c=9.3741 alpha=73.24 beta=73.24 gamma=60.00
Closest atoms and distances in Å follow each position.
Positions (direct):
Os: 0.9379 0.4379 0.1863  6 Os 2.70-2.71
Os: 0.4361 0.9376 0.6886  6 Os 2.69-2.71
Os: 0.4379 0.9379 0.1863  6 Os 2.70-2.71
Ce: 0.4996 0.4996 0.5013  12 Os 3.17-3.19, 1 Ce 3.31, 3 Nd 3.31
Os: 0.4379 0.4379 0.1863  6 Os 2.70-2.71
Os: 0.6877 0.6877 0.9368  6 Os 2.69-2.70
Ce: 0.3747 0.3747 0.8759  12 Os 3.16-3.17, 4 Ce 3.31
Os: 0.1877 0.1877 0.4370  6 Os 2.71
Os: 0.9376 0.4361 0.6886  6 Os 2.69-2.71
Ce: 0.0001 0.0001 0.9997  12 Os 3.16-3.17, 3 Ce 3.31, 1 Nd 3.32
Os: 0.9376 0.9376 0.6886  6 Os 2.69-2.71
Nd: 0.8750 0.8750 0.3749  12 Os 3.17-3.18, 4 Ce 3.31-3.32

Computed properties:
SG   R3m
Theoretical density   15.493 g/cm3
DFT total energy   -114.8 eV per cell
Formation enthalpy at 0 K   -0.201 eV per atom

---

[2]
DFT (GGA-PBE) results for a geometry-optimized CsSrHf2Cr structure.

Unit cell a=5.3227 b=5.7105 c=5.3227 alpha=90.00 beta=90.00 gamma=90.00
Closest atoms and distances in Å follow each position.
Positions (direct):
Cs: 0.0000 0.0000 0.0000  4 Hf 2.66, 2 Sr 2.86
Cr: 0.5000 0.5000 0.5000  4 Sr 3.76, 8 Hf 3.90
Hf: 0.0000 0.0000 0.5000  2 Cs 2.66
Hf: 0.5000 0.0000 0.0000  2 Cs 2.66
Sr: 0.0000 0.5000 0.0000  2 Cs 2.86

Computed properties:
SG   P4/mmm
Theoretical density   6.461 g/cm3
DFT total energy   -18.9 eV per cell
Formation enthalpy at 0 K   2.638 eV per atom

---

[3]
DFT (GGA-PBE) results for a geometry-optimized LiTeO2 structure.

Unit cell a=6.2794 b=6.2794 c=6.2794 alpha=29.32 beta=29.32 gamma=29.32
Closest atoms and distances in Å follow each position.
Positions (direct):
Te: 0.0000 0.0000 0.0000  2 O 1.93
Li: 0.5000 0.5000 0.5000  6 O 2.13
O: 0.8931 0.8931 0.8931  1 Te 1.93, 3 Li 2.13
O: 0.1069 0.1069 0.1069  1 Te 1.93, 3 Li 2.13

Computed properties:
SG   R-3m
Uncorrected formation energy   -350 kJ/mol of formula units
Theoretical density   5.262 g/cm3
DFT total energy   -18.6 eV per cell

---

[4]
DFT (GGA-PBE) results for a geometry-optimized CdAg5Pd structure.

Unit cell a=7.5590 b=5.5362 c=6.6595 alpha=114.56 beta=124.58 gamma=90.00
Closest atoms and distances in Å follow each position.
Positions (direct):
Ag: 0.1302 0.7431 0.0000  5 Ag 2.69-2.84, 1 Cd 2.71, 1 Pd 2.71
Ag: 0.1302 0.2569 0.0000  5 Ag 2.69-2.84, 1 Cd 2.71, 1 Pd 2.71
Ag: 0.8038 0.5000 0.0000  1 Cd 2.74, 2 Pd 2.77, 4 Ag 2.81-2.86
Ag: 0.8553 0.7551 0.5102  1 Cd 2.70, 3 Ag 2.73-2.86
Cd: 0.4407 0.5000 0.0000  5 Ag 2.70-2.74
Pd: 0.8254 0.0000 0.0000  4 Ag 2.71-2.77
Ag: 0.3451 0.2449 0.4898  1 Cd 2.70, 3 Ag 2.73-2.86

Computed properties:
SG   Imm2
Theoretical density   6.356 g/cm3
DFT total energy   -16.6 eV per cell
Formation enthalpy at 0 K   0.532 eV per atom

---

[5]
DFT (GGA-PBE) results for a geometry-optimized InPRh2 structure.

Unit cell a=4.4738 b=3.1670 c=4.9891 alpha=72.46 beta=90.00 gamma=90.00
Closest atoms and distances in Å follow each position.
Positions (direct):
P: 0.5000 0.8912 0.8432  4 Rh 2.31-2.32
In: 0.0000 0.5520 0.4976  3 Rh 2.56-2.72
Rh: 0.5000 0.2210 0.1989  2 P 2.31-2.32
Rh: 0.0000 0.8357 0.9603  2 P 2.31, 1 In 2.56

Computed properties:
SG   Pm
Theoretical density   8.663 g/cm3
DFT total energy   -24.1 eV per cell
Formation enthalpy at 0 K   -0.313 eV per atom

---

[6]
DFT (GGA-PBE) results for a geometry-optimized MnSb4Pt structure.

Unit cell a=6.0474 b=6.0474 c=6.0474 alpha=60.00 beta=60.00 gamma=60.00
Closest atoms and distances in Å follow each position.
Positions (direct):
Sb: 0.3748 0.8756 0.3748  6 Sb 3.02-3.03
Sb: 0.8756 0.3748 0.3748  6 Sb 3.02-3.03
Sb: 0.3748 0.3748 0.3748  6 Sb 3.02-3.03
Mn: 0.7500 0.7500 0.7500  12 Sb 3.55, 4 Pt 3.70
Sb: 0.3748 0.3748 0.8756  6 Sb 3.02-3.03
Pt: 0.0000 0.0000 0.0000  12 Sb 3.55, 4 Mn 3.70

Computed properties:
SG   F-43m
Uncorrected formation energy   445 kJ/mol of formula units
Theoretical density   7.826 g/cm3
DFT total energy   -27.1 eV per cell

---

[7]
DFT (GGA-PBE) results for a geometry-optimized BaAc2SiO6 structure.

Unit cell a=5.5702 b=5.6489 c=5.6489 alpha=90.00 beta=90.00 gamma=90.00
Closest atoms and distances in Å follow each position.
Positions (direct):
O: 0.7311 0.7883 0.2117  1 Si 1.79
O: 0.7311 0.7883 0.7883  1 Si 1.79
Si: 0.6265 0.0000 0.0000  5 O 1.68-1.79
Ac: 0.9866 0.5000 0.0000  4 O 2.47
O: 0.0725 0.5000 0.5000  1 Ba 2.52
O: 0.3249 0.0000 0.0000  1 Si 1.68
O: 0.7311 0.2117 0.7883  1 Si 1.79
O: 0.7311 0.2117 0.2117  1 Si 1.79
Ac: 0.9866 0.0000 0.5000  4 O 2.47
Ba: 0.5253 0.5000 0.5000  5 O 2.52-2.57

Computed properties:
SG   P4mm
Uncorrected formation energy   -2776 kJ/mol of formula units
Theoretical density   6.684 g/cm3
DFT total energy   -74.1 eV per cell

---

[8]
DFT (GGA-PBE) results for a geometry-optimized MgZn2Mo structure.

Unit cell a=2.8087 b=4.0440 c=5.6442 alpha=90.00 beta=90.00 gamma=90.00
Closest atoms and distances in Å follow each position.
Positions (direct):
Mo: 0.5000 0.5000 0.7624  6 Zn 2.76-2.89, 2 Mo 2.81, 4 Mg 2.88
Zn: 0.0000 0.0000 0.9874  2 Mg 2.76-2.89, 4 Mo 2.77, 6 Zn 2.81-2.88
Mg: 0.0000 0.0000 0.4990  6 Zn 2.76-2.89, 2 Mg 2.81, 4 Mo 2.88
Zn: 0.5000 0.5000 0.2512  2 Mo 2.76-2.89, 6 Zn 2.81-2.88, 4 Mg 2.83

Computed properties:
SG   Pmm2
Theoretical density   6.503 g/cm3
DFT total energy   -14.2 eV per cell
Formation enthalpy at 0 K   0.205 eV per atom

---

[9]
DFT (GGA-PBE) results for a geometry-optimized Nb6Re2W structure.

Unit cell a=3.2232 b=5.4009 c=9.6004 alpha=75.60 beta=80.34 gamma=72.64
Closest atoms and distances in Å follow each position.
Positions (direct):
Nb: 0.9989 0.6737 0.3285  2 Re 2.78, 6 Nb 2.80-2.86
Nb: 0.3298 0.7807 0.5597  2 Re 2.81, 6 Nb 2.81-2.86
Re: 0.6623 0.8926 0.7829  2 W 2.76, 6 Nb 2.78-2.81
Nb: 0.3308 0.4485 0.8899  4 Nb 2.77-2.80, 2 Re 2.81, 2 W 2.83
Nb: 0.0011 0.3263 0.6715  2 Re 2.78, 6 Nb 2.80-2.86
Re: 0.3377 0.1074 0.2171  2 W 2.76, 6 Nb 2.78-2.81
Nb: 0.6702 0.2193 0.4403  2 Re 2.81, 6 Nb 2.81-2.86
Nb: 0.6692 0.5515 0.1101  4 Nb 2.77-2.80, 2 Re 2.81, 2 W 2.83
W: 0.0000 0.0000 0.0000  4 Re 2.76, 4 Nb 2.83

Computed properties:
SG   C2/m
Theoretical density   12.032 g/cm3
DFT total energy   -99.8 eV per cell
Formation enthalpy at 0 K   -0.167 eV per atom

---

[10]
DFT (GGA-PBE) results for a geometry-optimized BiPdPb2 structure.

Unit cell a=6.4134 b=6.4134 c=8.4148 alpha=67.60 beta=67.60 gamma=90.00
Closest atoms and distances in Å follow each position.
Positions (direct):
Pb: 0.3750 0.4318 0.7500  2 Pd 2.69
Pb: 0.5682 0.1250 0.2500  2 Pd 2.69
Pb: 0.8750 0.8182 0.7500  2 Pd 2.69
Pb: 0.1818 0.6250 0.2500  2 Pd 2.69
Pd: 0.2500 0.7500 0.5000  4 Pb 2.69
Bi: 0.7500 0.2500 0.5000  4 Pb 3.10
Bi: 0.0000 0.0000 0.0000  4 Pb 3.10
Pd: 0.5000 0.5000 0.0000  4 Pb 2.69

Computed properties:
SG   I-42d
Theoretical density   8.313 g/cm3
DFT total energy   -31.8 eV per cell
Formation enthalpy at 0 K   0.142 eV per atom

---

[11]
DFT (GGA-PBE) results for a geometry-optimized SrCaTi4O12 structure.

Unit cell a=5.5061 b=5.5061 c=7.7825 alpha=90.00 beta=90.00 gamma=90.03
Closest atoms and distances in Å follow each position.
Positions (direct):
O: 0.5090 0.9774 0.0000  2 Ti 1.94
Ti: 0.4992 0.0025 0.7515  6 O 1.94-1.96
O: 0.2603 0.2603 0.2324  2 Ti 1.94
O: 0.7549 0.2439 0.2481  2 Ti 1.94-1.96
O: 0.4901 0.0069 0.5000  2 Ti 1.96
O: 0.2439 0.7549 0.2481  2 Ti 1.94-1.96
O: 0.7549 0.2439 0.7519  2 Ti 1.94-1.96
Ti: 0.0025 0.4992 0.2485  6 O 1.94-1.96
O: 0.2439 0.7549 0.7519  2 Ti 1.94-1.96
O: 0.0069 0.4901 0.5000  2 Ti 1.96
Ca: 0.5108 0.5108 0.0000  10 O 2.57-2.77
Ti: 0.0025 0.4992 0.7515  6 O 1.94-1.96
Ti: 0.4992 0.0025 0.2485  6 O 1.94-1.96
Sr: 0.9966 0.9966 0.5000  12 O 2.72-2.92
O: 0.9774 0.5090 0.0000  2 Ti 1.94
O: 0.7428 0.7428 0.2551  2 Ti 1.96
O: 0.7428 0.7428 0.7449  2 Ti 1.96
O: 0.2603 0.2603 0.7676  2 Ti 1.94

Computed properties:
SG   Amm2
Uncorrected formation energy   -4358 kJ/mol of formula units
Theoretical density   3.598 g/cm3
DFT total energy   -139.9 eV per cell

---

> The lowest theoretical density belongs to which entry?

SrCaTi4O12

---

> What is the formula in the ninth record?

Nb6Re2W

---

> Which value of DFT total energy does entry 5 give?

-24.1 eV per cell

---

What did the tenth record say?
DFT (GGA-PBE) results for a geometry-optimized BiPdPb2 structure.

Unit cell a=6.4134 b=6.4134 c=8.4148 alpha=67.60 beta=67.60 gamma=90.00
Closest atoms and distances in Å follow each position.
Positions (direct):
Pb: 0.3750 0.4318 0.7500  2 Pd 2.69
Pb: 0.5682 0.1250 0.2500  2 Pd 2.69
Pb: 0.8750 0.8182 0.7500  2 Pd 2.69
Pb: 0.1818 0.6250 0.2500  2 Pd 2.69
Pd: 0.2500 0.7500 0.5000  4 Pb 2.69
Bi: 0.7500 0.2500 0.5000  4 Pb 3.10
Bi: 0.0000 0.0000 0.0000  4 Pb 3.10
Pd: 0.5000 0.5000 0.0000  4 Pb 2.69

Computed properties:
SG   I-42d
Theoretical density   8.313 g/cm3
DFT total energy   -31.8 eV per cell
Formation enthalpy at 0 K   0.142 eV per atom